{"formula": "SrInBrO2", "functional": "PBE", "state": "optimized geometry", "dos_ef_per_ev_atom": 0.000, "mass_density_g_cm3": 4.251, "sg": "P2_1/m, No. 11", "formation_energy_uncorrected_ev_per_atom": -1.939, "lattice": [[4.2680, 0.0000, 0.0000], [0.0000, 6.9774, -0.4615], [0.0000, -0.7676, 8.2974]], "species": ["Sr", "Sr", "In", "In", "Br", "Br", "O", "O", "O", "O"], "frac_coords": [[0.7500, 0.1987, 0.6188], [0.2500, 0.8013, 0.3812], [0.2500, 0.9430, 0.8527], [0.7500, 0.0570, 0.1473], [0.7500, 0.4411, 0.2768], [0.2500, 0.5589, 0.7232], [0.7500, 0.0377, 0.8923], [0.2500, 0.9624, 0.1077], [0.2500, 0.0368, 0.6326], [0.7500, 0.9632, 0.3674]]}